(1)
DFT (GGA-PBE) results for a geometry-optimized YTa2Pd9 structure.

Cell and atoms, written as POSCAR:
```
YTa2Pd9
1.0
-3.512 -1.163 1.565
0.516 -3.663 -1.565
5.671 -3.519 10.108
Ta Pd Y
2 9 1
Direct
0.000 0.000 0.666
0.000 0.000 0.334
0.500 0.500 0.659
0.000 0.500 0.500
0.500 0.500 0.000
0.000 0.500 0.820
0.500 0.500 0.341
0.500 0.000 0.820
0.000 0.500 0.180
0.500 0.000 0.500
0.500 0.000 0.180
0.000 0.000 0.000
```

- Total DFT energy (no corrections): -83.4 eV for the cell shown
- Spin magnetization: 0.00 μB/cell
- D(E_F): 9.2 states/eV per cell

***

(2)
DFT (GGA-PBE) results for a geometry-optimized YTa2Pd structure.

Cell and atoms, written as POSCAR:
```
YTa2Pd
1.0
3.924 0.000 0.000
0.000 3.924 0.000
1.962 1.962 10.868
Pd Ta Y
2 4 2
Direct
0.000 0.000 0.000
0.750 0.250 0.500
0.119 0.625 0.250
0.375 0.369 0.750
0.631 0.125 0.250
0.875 0.881 0.750
0.500 0.500 0.000
0.250 0.750 0.500
```

- Total DFT energy (no corrections): -68.2 eV for the cell shown
- Spin magnetization: 0.00 μB/cell
- Energy relative to the lowest polymorph listed for this composition: 0.00 kJ/mol of atoms
- D(E_F): 11.8 states/eV per cell

***

(3)
DFT (GGA-PBE) results for a geometry-optimized YTaPd2 structure.

Cell and atoms, written as POSCAR:
```
YTaPd2
1.0
6.080 0.000 0.000
0.000 6.080 0.000
3.040 3.040 6.037
Y Pd Ta
2 4 2
Direct
0.250 0.750 0.500
0.500 0.500 0.000
0.661 0.125 0.250
0.875 0.911 0.750
0.089 0.625 0.250
0.375 0.339 0.750
0.000 0.000 0.000
0.750 0.250 0.500
```

- Total DFT energy (no corrections): -53.7 eV for the cell shown
- Spin magnetization: 0.00 μB/cell
- D(E_F): 3.0 states/eV per cell

***

(4)
DFT (GGA-PBE) results for a geometry-optimized YTaPd6 structure.

Cell and atoms, written as POSCAR:
```
YTaPd6
1.0
4.044 0.000 0.000
0.000 4.044 0.000
0.000 0.000 8.108
Pd Ta Y
6 1 1
Direct
0.000 0.500 0.266
0.500 0.500 0.500
0.500 0.500 0.000
0.500 0.000 0.266
0.500 0.000 0.734
0.000 0.500 0.734
0.000 0.000 0.500
0.000 0.000 0.000
```

- Total DFT energy (no corrections): -54.8 eV for the cell shown
- Spin magnetization: 0.00 μB/cell
- D(E_F): 2.4 states/eV per cell

***

(5)
DFT (GGA-PBE) results for a geometry-optimized YTa2Pd structure.

Cell and atoms, written as POSCAR:
```
YTa2Pd
1.0
-2.370 -3.494 2.171
-4.205 0.881 2.019
-3.972 -1.733 -1.936
Y Pd Ta
1 1 2
Direct
0.000 0.000 0.000
0.500 0.500 0.500
0.750 0.750 0.750
0.250 0.250 0.250
```

- Total DFT energy (no corrections): -33.8 eV for the cell shown
- Spin magnetization: 0.00 μB/cell
- Energy relative to the lowest polymorph listed for this composition: 8.35 kJ/mol of atoms
- D(E_F): 4.3 states/eV per cell

***

(6)
DFT (GGA-PBE) results for a geometry-optimized Y2TaPd structure.

Cell and atoms, written as POSCAR:
```
Y2TaPd
1.0
0.000 3.591 3.591
3.591 0.000 3.591
3.591 3.591 0.000
Y Pd Ta
2 1 1
Direct
0.250 0.250 0.250
0.750 0.750 0.750
0.000 0.000 0.000
0.500 0.500 0.500
```

- Total DFT energy (no corrections): -29.6 eV for the cell shown
- Spin magnetization: 2.69 μB/cell
- Energy relative to the lowest polymorph listed for this composition: 0.00 kJ/mol of atoms
- D(E_F): 3.5 states/eV per cell